PmPrSi3, relaxed, DFT PBE-GGA; excess energy over the best structure of this formula in the dataset = 0.12 eV per formula unit; formation energy (no corrections) = -0.67 eV/atom
1.0
-2.957 -1.238 2.447
2.069 -3.771 0.593
5.032 6.755 9.498
Si Pm Pr
6 2 2
Cartesian
5.036 4.327 9.937
-0.893 -2.581 2.601
2.398 -0.507 4.304
3.901 3.415 8.104
0.243 -1.669 4.434
1.745 2.253 8.235
4.055 1.391 10.590
0.089 0.355 1.949
3.915 0.710 6.753
0.229 1.036 5.786

=====

PmPr2Si2, relaxed, DFT PBE-GGA; excess energy over the best structure of this formula in the dataset = 0.00 eV per formula unit; formation energy (no corrections) = -0.63 eV/atom
1.0
-1.724 -3.284 2.368
-3.194 -2.967 -6.441
6.403 -4.243 -1.221
Si Pr Pm
4 4 2
Cartesian
4.449 -4.925 -3.590
1.074 -5.230 -6.471
2.135 -1.980 -1.191
-1.240 -2.285 -4.072
-1.424 -5.452 -4.509
-0.758 -3.352 -1.111
2.908 -5.041 -0.785
2.242 -7.142 -4.183
1.604 -3.605 -3.831
0.000 0.000 0.000

=====

Pm3PrSi3, relaxed, DFT PBE-GGA; formation energy (no corrections) = -0.48 eV/atom
1.0
-2.757 3.098 4.651
-1.716 -5.989 0.149
6.191 0.432 0.559
Pm Pr Si
3 1 3
Cartesian
2.158 -2.712 0.835
-1.824 -1.525 2.657
1.695 1.332 2.839
1.694 -2.423 5.282
3.173 0.108 0.516
-0.783 -3.104 0.310
-1.303 1.441 2.563

=====

PmPrZnSi, relaxed, DFT PBE-GGA; excess energy over the best structure of this formula in the dataset = 0.00 eV per formula unit; formation energy (no corrections) = -0.51 eV/atom
1.0
-0.843 -1.544 -3.978
-0.984 -3.689 1.640
-4.894 2.408 2.480
Pm Pr Si Zn
1 1 1 1
Cartesian
-4.704 -1.450 -0.819
-1.512 0.465 0.140
-1.635 -2.395 -1.102
-4.606 1.418 0.426

=====

PmPrZnSi, relaxed, DFT PBE-GGA; excess energy over the best structure of this formula in the dataset = 0.34 eV per formula unit; formation energy (no corrections) = -0.43 eV/atom
1.0
-2.909 -0.873 -4.170
2.002 -2.451 -4.074
-1.520 -4.799 -1.126
Pr Pm Si Zn
1 1 1 1
Cartesian
-1.214 -4.062 -4.685
0.000 0.000 0.000
-1.821 -6.092 -7.028
-0.607 -2.031 -2.343

=====

Pm6PrSm6, relaxed, DFT PBE-GGA; ΔH_f (0 K) = 0.2565 eV per atom
1.0
-0.385 -4.159 -5.302
-3.830 -1.111 5.446
-8.403 6.596 -4.564
Pm Sm Pr
6 6 1
Cartesian
-2.682 -2.127 1.863
-1.533 -3.143 -1.719
-6.883 1.171 -0.419
-5.434 4.265 -2.952
-2.969 2.330 -1.613
-5.735 0.154 -4.002
-8.413 2.314 -3.353
-8.221 4.394 -0.702
-4.205 -0.989 -1.068
-4.012 1.091 1.584
-6.498 2.870 -6.076
-2.290 -0.433 -3.790
0.000 0.000 0.000

=====

Pm5PrSm6, relaxed, DFT PBE-GGA; ΔH_f (0 K) = 0.0139 eV per atom
1.0
-4.281 -2.859 -0.253
0.662 -0.066 -10.279
6.090 -4.958 5.572
Sm Pm Pr
6 5 1
Cartesian
0.546 -5.691 2.641
0.876 -5.724 -2.486
-1.975 -1.446 -2.707
1.594 -2.159 -2.474
1.924 -2.192 -7.601
4.444 -6.437 -2.253
-0.711 -3.575 -0.025
3.181 -4.309 -4.936
2.852 -4.279 0.204
-0.382 -3.605 -5.164
0.331 -0.033 -5.140
0.000 0.000 0.000

=====

Pm4PrSm5, relaxed, DFT PBE-GGA; excess energy over the best structure of this formula in the dataset = 0.26 eV per formula unit; ΔH_f (0 K) = 0.2419 eV per atom
1.0
-1.451 5.740 1.892
-7.584 0.503 2.868
1.770 1.231 7.833
Pm Sm Pr
4 5 1
Cartesian
-1.965 3.671 7.093
-2.103 1.368 3.762
-5.065 5.721 8.704
-5.203 3.419 5.373
-0.417 4.768 4.386
-6.671 2.004 7.976
-4.897 1.049 2.024
-0.983 3.887 1.281
-2.192 5.723 10.337
-0.307 1.214 0.400

=====

Pm5Pr2Sm3, relaxed, DFT PBE-GGA; excess energy over the best structure of this formula in the dataset = 1.79 eV per formula unit; ΔH_f (0 K) = 0.3576 eV per atom
1.0
6.938 0.000 0.000
3.469 11.733 2.924
3.469 5.933 10.536
Pm Sm Pr
10 6 4
Cartesian
1.734 4.394 3.348
5.203 8.833 6.730
10.407 10.539 9.135
12.141 13.272 10.113
6.938 11.604 7.737
6.938 6.062 5.723
5.203 4.394 3.348
8.672 8.833 6.730
3.469 7.127 4.326
8.672 13.272 10.113
6.938 8.099 3.159
1.734 0.000 0.000
5.203 0.000 0.000
10.407 12.471 6.490
6.938 9.567 10.301
3.469 5.195 6.970
3.469 1.588 2.418
10.407 16.078 11.043
6.938 2.752 0.889
6.938 14.914 12.571

=====

PmPr6Sm8, relaxed, DFT PBE-GGA; excess energy over the best structure of this formula in the dataset = 0.00 eV per formula unit; ΔH_f (0 K) = 0.1459 eV per atom
1.0
-8.907 -1.287 -2.867
-1.828 -5.660 -7.337
-4.178 -7.635 0.852
Pr Sm Pm
6 8 1
Cartesian
-3.661 -4.060 -4.754
-5.457 -1.906 -2.313
-9.456 -12.676 -7.038
-13.159 -12.381 -7.191
-1.754 -2.201 -2.160
-11.252 -10.522 -4.597
-5.874 -9.409 -6.937
-10.926 -7.032 -4.677
-7.584 -8.422 -3.771
-7.329 -6.160 -5.580
-9.317 -8.912 -7.129
-5.596 -5.671 -2.222
-3.987 -7.550 -4.675
-9.039 -5.173 -2.414
0.000 0.000 0.000

=====

PmPr2Sm, relaxed, DFT PBE-GGA; excess energy over the best structure of this formula in the dataset = 0.10 eV per formula unit; ΔH_f (0 K) = 0.0364 eV per atom
1.0
-3.396 4.688 2.475
-0.585 -3.812 6.417
10.296 7.053 0.768
Pr Sm Pm
8 4 4
Cartesian
-1.187 2.812 3.715
3.072 1.778 3.510
7.502 5.118 5.945
5.953 8.433 5.546
0.362 -0.504 4.114
5.090 4.779 3.276
3.243 6.152 6.150
1.225 3.150 6.384
3.522 8.070 2.916
2.793 -0.140 6.744
0.648 1.404 0.875
5.667 6.525 8.785
7.814 7.058 2.706
1.540 5.086 3.143
4.775 2.844 6.517
-1.499 0.872 6.954

=====

Pm5Pr8Sm, relaxed, DFT PBE-GGA; ΔH_f (0 K) = 0.2263 eV per atom
1.0
-7.438 4.148 -1.773
-1.160 -6.010 6.181
5.632 6.106 2.583
Pr Pm Sm
8 5 1
Cartesian
-0.560 1.983 6.696
-0.229 6.049 3.652
-3.839 3.492 1.145
-1.733 -3.264 4.416
1.233 -1.291 5.685
-0.346 2.475 2.177
-3.292 7.294 0.692
-3.096 0.238 3.501
-0.903 5.127 0.405
0.141 -0.934 2.226
-2.841 3.668 4.646
-6.473 -0.711 4.490
3.241 6.465 2.620
1.785 2.611 4.585

=====

Pm5Pr3Sm4, relaxed, DFT PBE-GGA; excess energy over the best structure of this formula in the dataset = 0.00 eV per formula unit; ΔH_f (0 K) = 0.0127 eV per atom
1.0
7.058 -0.452 1.848
-5.298 7.744 -6.771
4.202 -4.082 11.831
Pr Sm Pm
3 4 5
Cartesian
4.644 -0.328 3.892
1.317 3.538 3.016
2.101 -2.041 5.916
0.110 1.825 0.022
5.852 1.385 6.886
4.860 3.319 3.946
1.102 -0.109 2.962
3.642 1.595 0.945
5.630 -2.267 6.840
3.326 -0.327 8.907
2.636 3.538 -1.999
2.320 1.615 5.964

=====

Pm3Pr2Sm, relaxed, DFT PBE-GGA; excess energy over the best structure of this formula in the dataset = 0.61 eV per formula unit; ΔH_f (0 K) = 0.2413 eV per atom
1.0
3.457 0.000 0.000
0.000 6.835 0.000
0.000 0.000 18.009
Pr Pm Sm
4 6 2
Cartesian
0.000 5.007 11.744
0.000 1.828 6.265
1.728 5.246 2.739
1.728 1.589 15.270
1.728 5.048 14.810
0.000 1.630 12.204
0.000 5.205 5.805
1.728 1.787 3.199
0.000 0.000 0.000
1.728 3.417 9.005
1.728 3.417 0.000
0.000 0.000 9.005

=====

PmPr5Sm6, relaxed, DFT PBE-GGA; ΔH_f (0 K) = 0.0121 eV per atom
1.0
-1.977 -8.396 8.513
-1.975 -4.833 -3.633
4.216 -4.159 -2.327
Sm Pr Pm
6 5 1
Cartesian
-0.244 -6.304 -0.775
-0.243 -8.085 5.315
0.508 -11.084 3.327
0.507 -9.303 -2.762
-0.988 -3.304 1.214
-2.965 -9.924 3.666
-1.230 -9.611 0.453
1.493 -7.776 2.100
1.493 -5.995 -3.974
0.747 -2.997 -1.987
-1.976 -6.614 2.440
0.000 0.000 0.000

=====

Pm3PrSm6, relaxed, DFT PBE-GGA; excess energy over the best structure of this formula in the dataset = 0.00 eV per formula unit; ΔH_f (0 K) = 0.1406 eV per atom
1.0
-3.375 1.470 5.284
-8.765 2.610 -6.326
1.343 -10.383 3.748
Pm Sm Pr
6 12 2
Cartesian
-2.832 -5.261 0.322
-4.044 0.825 0.817
-8.854 -4.212 -0.854
-3.378 -1.466 5.804
-6.852 -1.527 0.640
-8.187 -6.502 4.134
-3.059 -1.954 -0.992
-9.626 2.681 -4.059
-10.526 -1.731 0.624
-3.659 -5.809 4.358
-1.114 -4.205 3.400
-7.014 1.946 1.843
-4.625 -7.882 2.180
-6.411 -4.927 1.619
-5.566 -4.579 -1.863
-6.443 -0.796 -2.741
-3.904 -2.302 2.490
-1.923 -8.656 7.941
-8.899 1.030 -1.176
-0.960 -7.741 2.412

=====

PmPr2Sm3, relaxed, DFT PBE-GGA; excess energy over the best structure of this formula in the dataset = 0.00 eV per formula unit; ΔH_f (0 K) = 0.0570 eV per atom
1.0
-7.408 -0.487 5.393
2.823 -3.488 5.108
0.645 6.077 2.979
Sm Pm Pr
6 2 4
Cartesian
-2.661 -0.395 4.893
-0.298 1.962 5.216
0.680 1.443 1.842
-3.642 0.141 8.264
-1.280 2.498 8.587
-4.620 0.660 11.639
-2.916 -3.048 8.974
-1.024 5.150 4.507
0.917 -1.477 4.240
-3.874 3.055 5.874
-4.858 3.580 9.240
-0.066 -0.952 7.606

=====

Pm15PrSm4, relaxed, DFT PBE-GGA; ΔH_f (0 K) = 0.0149 eV per atom
1.0
-1.058 -4.892 1.261
0.114 -1.311 -4.991
25.235 -4.972 1.883
Pm Sm Pr
15 4 1
Cartesian
7.638 -2.149 -1.930
17.710 -4.134 -1.179
4.595 -4.100 -1.487
22.160 -6.917 2.323
7.052 -3.940 1.196
2.603 -1.157 -2.306
12.088 -4.932 1.572
12.674 -3.142 -1.554
-0.472 -3.102 -1.865
17.124 -5.925 1.947
14.663 -6.084 -0.736
2.017 -2.948 0.820
22.746 -5.126 -0.803
9.628 -5.092 -1.112
19.696 -7.076 -0.361
5.062 -0.998 0.378
10.100 -1.990 0.753
20.172 -3.975 1.505
15.135 -2.982 1.129
0.000 0.000 0.000

=====

PmPr4Sm15, relaxed, DFT PBE-GGA; ΔH_f (0 K) = 0.0153 eV per atom
1.0
-3.456 3.786 0.594
-3.819 -3.334 -0.971
-1.639 -5.435 25.118
Pr Sm Pm
4 15 1
Cartesian
-0.656 -2.174 10.047
-0.328 -1.086 5.019
-1.312 -4.349 20.098
-0.984 -3.261 15.071
-1.891 1.353 2.796
-2.876 -1.912 17.880
-4.293 -1.948 9.859
-2.401 -3.297 7.049
-2.729 -4.384 12.074
-2.548 -0.824 12.856
-3.638 0.226 -0.188
-4.950 -4.123 19.914
-2.220 0.263 7.831
-2.072 -2.207 2.013
-3.386 -6.561 22.134
-3.204 -3.001 22.916
-4.621 -3.034 14.882
-3.965 -0.859 4.826
-3.057 -5.472 17.098
0.000 0.000 0.000

=====

Pm6Pr4Sm, relaxed, DFT PBE-GGA; excess energy over the best structure of this formula in the dataset = 0.00 eV per formula unit; ΔH_f (0 K) = 0.2784 eV per atom
1.0
0.064 8.507 -4.886
-4.598 -8.663 -0.204
-3.872 -3.879 8.136
Pr Pm Sm
4 6 1
Cartesian
-3.088 -1.373 1.056
-2.959 -5.531 -0.024
-2.509 -2.566 5.144
-8.321 -7.108 4.803
-1.681 2.980 -1.563
-2.267 -0.078 -2.545
-4.663 -3.963 2.679
-5.393 -8.634 3.473
-1.904 2.314 1.625
-5.139 -6.961 6.390
0.000 0.000 0.000

=====

Results for total magnetization: 0.00 0.00 0.00 0.00 0.00 0.00 0.00 0.00 0.00 0.00 0.00 0.00 0.00 0.00 0.00 0.00 0.00 0.00 0.00 0.00 (in μB/f.u., following the order of the records).